## TaAl3Co (PBE)

Data for an optimized crystal structure of TaAl3Co.

Crystal system   cubic
Formation energy from the elements   363.0 meV per atom
Space group   Pm-3m (221)
Energy relative to the lowest polymorph listed for this composition   0.00 eV per formula unit

Unit cell a=4.372 b=4.372 c=4.372 alpha=90.00 beta=90.00 gamma=90.00
Each line ends with the local moment (μB).
Element x y z (fractional)
1 Co 0.000 0.000 0.000  0.41
2 Al 0.000 0.500 0.000  -0.01
3 Al 0.000 0.000 0.500  -0.02
4 Al 0.500 0.000 0.000  0.00
5 Ta 0.500 0.500 0.500  0.86